Rb3Al4Ge4: optimized geometry, GGA-PBE.

CIF file:
```
data_Rb3Al4Ge4
_space_group_name_H-M_alt 'I -4 3 m'
_space_group_IT_number 217
_space_group_name_Hall 'I -4 2 3'
_cell_length_a 8.359
_cell_length_b 8.359
_cell_length_c 8.359
_cell_angle_alpha 90.00
_cell_angle_beta 90.00
_cell_angle_gamma 90.00
loop_
_atom_site_label
_atom_site_type_symbol
_atom_site_fract_x
_atom_site_fract_y
_atom_site_fract_z
Rb1 Rb 0.000 0.000 0.500
Al1 Al 0.145 0.145 0.855
Ge1 Ge 0.169 0.169 0.169
```

Output
- N(E_F) (states/eV per atom) = 0.304
- calculated formation energy (eV per atom) = -0.09



Rb2AlGe: optimized geometry, GGA-PBE.

CIF file:
```
data_Rb2AlGe
_space_group_name_H-M_alt 'F m -3 m'
_space_group_IT_number 225
_space_group_name_Hall '-F 4 2 3'
_cell_length_a 8.450
_cell_length_b 8.450
_cell_length_c 8.450
_cell_angle_alpha 90.00
_cell_angle_beta 90.00
_cell_angle_gamma 90.00
loop_
_atom_site_label
_atom_site_type_symbol
_atom_site_fract_x
_atom_site_fract_y
_atom_site_fract_z
Rb1 Rb 0.250 0.250 0.250
Al1 Al 0.000 0.000 0.000
Ge1 Ge 0.000 0.000 0.500
```

Output
- E above lowest polymorph (meV per atom) = 0
- N(E_F) (states/eV per atom) = 0.589
- calculated formation energy (eV per atom) = 0.55



RbAlGe2: optimized geometry, GGA-PBE.

CIF file:
```
data_RbAlGe2
_space_group_name_H-M_alt 'R -3 m'
_space_group_IT_number 166
_space_group_name_Hall '-R 3 2"'
_cell_length_a 4.3101
_cell_length_b 4.3101
_cell_length_c 20.9503
_cell_angle_alpha 90.00
_cell_angle_beta 90.00
_cell_angle_gamma 120.00
loop_
_atom_site_label
_atom_site_type_symbol
_atom_site_fract_x
_atom_site_fract_y
_atom_site_fract_z
Rb1 Rb 0.0000 0.0000 0.0000
Al1 Al 0.0000 0.0000 0.5000
Ge1 Ge 0.0000 0.0000 0.2106
```

Output
- N(E_F) (states/eV per atom) = 0.294
- calculated formation energy (eV per atom) = 0.04



RbAl3Ge2: optimized geometry, GGA-PBE.

CIF file:
```
data_RbAl3Ge2
_space_group_name_H-M_alt 'C 1 2/m 1'
_space_group_IT_number 12
_cell_length_a 16.903
_cell_length_b 4.378
_cell_length_c 8.883
_cell_angle_alpha 90.00
_cell_angle_beta 113.60
_cell_angle_gamma 90.00
loop_
_space_group_symop_operation_xyz
'x,y,z'
'-x,-y,-z'
'-x,y,-z'
'x,-y,z'
'x+1/2,y+1/2,z'
'-x+1/2,-y+1/2,-z'
'-x+1/2,y+1/2,-z'
'x+1/2,-y+1/2,z'
loop_
_atom_site_label
_atom_site_type_symbol
_atom_site_fract_x
_atom_site_fract_y
_atom_site_fract_z
Rb1 Rb 0.138 0.000 0.047
Al1 Al 0.050 0.000 0.412
Al2 Al 0.087 0.500 0.634
Al3 Al 0.191 0.500 0.464
Ge1 Ge 0.028 0.500 0.242
Ge2 Ge 0.197 0.000 0.675
```

Output
- N(E_F) (states/eV per atom) = 0.312
- calculated formation energy (eV per atom) = -0.04



RbAl4Ge2: optimized geometry, GGA-PBE.

CIF file:
```
data_RbAl4Ge2
_space_group_name_H-M_alt 'P 42/m n m'
_space_group_IT_number 136
_space_group_name_Hall '-P 4n 2n'
_cell_length_a 8.508
_cell_length_b 8.508
_cell_length_c 4.143
_cell_angle_alpha 90.00
_cell_angle_beta 90.00
_cell_angle_gamma 90.00
loop_
_atom_site_label
_atom_site_type_symbol
_atom_site_fract_x
_atom_site_fract_y
_atom_site_fract_z
Rb1 Rb 0.000 0.000 0.000
Al1 Al 0.070 0.345 0.500
Ge1 Ge 0.226 0.774 0.500
```

Output
- N(E_F) (states/eV per atom) = 0.392
- calculated formation energy (eV per atom) = 0.05



Rb2Al2Ge: optimized geometry, GGA-PBE.

CIF file:
```
data_Rb2Al2Ge
_space_group_name_H-M_alt 'P 4/m b m'
_space_group_IT_number 127
_space_group_name_Hall '-P 4 2ab'
_cell_length_a 7.026
_cell_length_b 7.026
_cell_length_c 6.167
_cell_angle_alpha 90.00
_cell_angle_beta 90.00
_cell_angle_gamma 90.00
loop_
_atom_site_label
_atom_site_type_symbol
_atom_site_fract_x
_atom_site_fract_y
_atom_site_fract_z
Rb1 Rb 0.187 0.313 0.000
Al1 Al 0.132 0.632 0.500
Ge1 Ge 0.000 0.000 0.500
```

Output
- N(E_F) (states/eV per atom) = 0.622
- calculated formation energy (eV per atom) = 0.22



RbAlGe2: optimized geometry, GGA-PBE.

CIF file:
```
data_RbAlGe2
_space_group_name_H-M_alt 'P 4/m m m'
_space_group_IT_number 123
_space_group_name_Hall '-P 4 2'
_cell_length_a 3.593
_cell_length_b 3.593
_cell_length_c 7.669
_cell_angle_alpha 90.00
_cell_angle_beta 90.00
_cell_angle_gamma 90.00
loop_
_atom_site_label
_atom_site_type_symbol
_atom_site_fract_x
_atom_site_fract_y
_atom_site_fract_z
Rb1 Rb 0.000 0.000 0.000
Al1 Al 0.000 0.000 0.500
Ge1 Ge 0.500 0.500 0.335
```

Output
- N(E_F) (states/eV per atom) = 0.389
- calculated formation energy (eV per atom) = 0.00



Rb2AlGe: optimized geometry, GGA-PBE.

CIF file:
```
data_Rb2AlGe
_space_group_name_H-M_alt 'I -4 2 d'
_space_group_IT_number 122
_space_group_name_Hall 'I -4 2bw'
_cell_length_a 4.754
_cell_length_b 4.754
_cell_length_c 24.966
_cell_angle_alpha 90.00
_cell_angle_beta 90.00
_cell_angle_gamma 90.00
loop_
_atom_site_label
_atom_site_type_symbol
_atom_site_fract_x
_atom_site_fract_y
_atom_site_fract_z
Rb1 Rb 0.249 0.250 0.125
Al1 Al 0.000 0.000 0.500
Ge1 Ge 0.000 0.000 0.000
```

Output
- E above lowest polymorph (meV per atom) = 113
- N(E_F) (states/eV per atom) = 0.711
- calculated formation energy (eV per atom) = 0.66



no.,raw total energy (eV per formula unit)
1,-37.382
2,-8.110
3,-13.800
4,-21.645
5,-24.831
6,-12.935
7,-13.939
8,-7.659